# Li4Mn3O7 (GGA+U, optimized geometry)
data_Li4Mn3O7
_cell_length_a 5.088
_cell_length_b 5.324
_cell_length_c 10.180
_cell_angle_alpha 95.69
_cell_angle_beta 101.56
_cell_angle_gamma 102.62
_space_group_name_H-M_alt 'P -1'
_space_group_IT_number 2
loop_
_space_group_symop_operation_xyz
'x,y,z'
'-x,-y,-z'
loop_
_atom_site_label
_atom_site_type_symbol
_atom_site_fract_x
_atom_site_fract_y
_atom_site_fract_z
Li1 Li 0.000 0.000 0.000
Li2 Li 0.000 0.000 0.500
Li3 Li 0.135 0.296 0.296
Li4 Li 0.270 0.592 0.575
Li5 Li 0.422 0.871 0.862
Mn1 Mn 0.143 0.264 0.777
Mn2 Mn 0.283 0.574 0.074
Mn3 Mn 0.431 0.876 0.362
O1 O 0.067 0.633 0.903
O2 O 0.078 0.656 0.383
O3 O 0.206 0.933 0.192
O4 O 0.242 0.930 0.676
O5 O 0.367 0.225 0.956
O6 O 0.378 0.180 0.464
O7 O 0.496 0.557 0.258
# - VASP energy: -179.636 eV per cell